(1)
Compound: ReSeBr2F
Source: Alexandria via LeMat-Bulk
Functional: PBE
Structure: relaxed

Output
As for the energy above the lowest structure with this stoichiometry: 0.881 eV per atom. The crystal system is tetragonal. The value obtained for the formation energy without anion corrections is 5.3 eV/f.u. The total energy comes out at -3.17 eV per atom.

Unit cell a=5.540 b=5.540 c=3.919 alpha=90.00 beta=90.00 gamma=90.00
Space group P4/mmm (No. 123)
One atom of each set of equivalent atoms:
1 Re 0.000 0.000 0.000
2 Se 0.500 0.500 0.000
3 Br 0.000 0.500 0.500
4 F 0.500 0.500 0.500


(2)
Compound: TlRe2BrF
Source: Alexandria via LeMat-Bulk
Functional: PBE
Structure: relaxed

Output
The crystal system is tetragonal. The value obtained for the formation energy without anion corrections is 7.4 eV/f.u. The total energy comes out at -4.69 eV per atom.

Unit cell a=4.627 b=4.627 c=4.746 alpha=90.00 beta=90.00 gamma=90.00
Space group P4/mmm (No. 123)
One atom of each set of equivalent atoms:
1 Tl 0.000 0.000 0.000
2 Re 0.000 0.500 0.500
3 Br 0.500 0.500 0.500
4 F 0.500 0.500 0.000


(3)
Compound: Tl2ReBr2F4
Source: Alexandria via LeMat-Bulk
Functional: PBE
Structure: relaxed

Output
The crystal system is monoclinic. The value obtained for the formation energy without anion corrections is -13.6 eV/f.u. The total energy comes out at -4.62 eV per atom.

Unit cell a=12.548 b=6.374 c=5.442 alpha=90.00 beta=91.87 gamma=90.00
Space group C2/m (No. 12)
One atom of each set of equivalent atoms:
1 Tl 0.131 0.000 0.162
2 Re 0.000 0.500 0.500
3 Br 0.187 0.500 0.335
4 F 0.042 0.270 0.730


(4)
Compound: RhBr3F
Source: Alexandria via LeMat-Bulk
Functional: PBE
Structure: relaxed

Output
As for the energy above the lowest structure with this stoichiometry: 1.336 eV per atom. The crystal system is cubic. The value obtained for the formation energy without anion corrections is 4.0 eV/f.u. The total energy comes out at -2.05 eV per atom.

Unit cell a=4.901 b=4.901 c=4.901 alpha=90.00 beta=90.00 gamma=90.00
Space group Pm-3m (No. 221)
One atom of each set of equivalent atoms:
1 Rh 0.000 0.000 0.000
2 Br 0.000 0.500 0.500
3 F 0.500 0.500 0.500


> Which of these has the lowest formation energy without anion corrections?

Tl2ReBr2F4


> What is the total energy in the second record?

-4.69 eV per atom